{
  "formula": "CaPm7Pr3",
  "functional": "GGA-PBE",
  "state": "optimized geometry",
  "lattice": [[-5.590, -6.109, -3.261], [5.669, -4.120, -1.998], [-2.954, -0.825, 6.611]],
  "species": ["Ca", "Pm", "Pm", "Pm", "Pm", "Pm", "Pm", "Pm", "Pr", "Pr", "Pr"],
  "frac_coords": [[0.444, 0.333, 0.667], [0.113, 0.165, 0.835], [0.113, 0.165, 0.329], [0.124, 0.667, 0.333], [0.447, 0.832, 0.168], [0.447, 0.337, 0.168], [0.447, 0.832, 0.663], [0.113, 0.671, 0.835], [0.788, 0.503, 0.497], [0.788, 0.503, 0.005], [0.788, 0.995, 0.497]],
  "vol_a3_per_atom": 37.2,
  "relative_energy_mev_per_atom": 0,
  "sg": "P3m1, No. 156",
  "formation_energy_ev_per_atom": 0.1954
}

=====

{
  "formula": "Ac3MgIr",
  "functional": "GGA-PBE",
  "state": "optimized geometry",
  "lattice": [[5.834, 0.000, 1.629], [2.416, 6.427, 2.611], [0.342, 0.298, 10.037]],
  "species": ["Ac", "Ac", "Ac", "Ac", "Ac", "Ac", "Mg", "Mg", "Ir", "Ir"],
  "frac_coords": [[0.893, 0.993, 0.221], [0.107, 0.007, 0.779], [0.631, 0.659, 0.080], [0.369, 0.341, 0.920], [0.848, 0.656, 0.648], [0.152, 0.344, 0.352], [0.402, 0.746, 0.449], [0.598, 0.254, 0.551], [0.129, 0.672, 0.069], [0.871, 0.328, 0.931]],
  "vol_a3_per_atom": 36.9,
  "relative_energy_mev_per_atom": 0,
  "sg": "C2/m, No. 12",
  "formation_energy_ev_per_atom": -0.3409
}

=====

{
  "formula": "SiNiH",
  "functional": "GGA-PBE",
  "state": "optimized geometry",
  "lattice": [[-1.577, 1.561, -1.110], [-2.555, -0.776, 2.539], [5.531, 6.224, 4.817]],
  "species": ["Ni", "Ni", "Si", "Si", "H", "H"],
  "frac_coords": [[0.690, 0.708, 0.915], [0.310, 0.292, 0.085], [0.870, 0.834, 0.170], [0.130, 0.166, 0.830], [0.905, 0.481, 0.464], [0.095, 0.519, 0.536]],
  "vol_a3_per_atom": 14.1,
  "sg": "P-1, No. 2",
  "final_energy_ev_per_atom": -4.942
}

=====

{
  "formula": "Pm2Cd2Hg5",
  "functional": "GGA-PBE",
  "state": "optimized geometry",
  "lattice": [[7.469, 0.000, 0.000], [0.000, 7.055, 0.000], [-3.734, -3.527, 9.062]],
  "species": ["Pm", "Pm", "Pm", "Pm", "Cd", "Cd", "Cd", "Cd", "Hg", "Hg", "Hg", "Hg", "Hg", "Hg", "Hg", "Hg", "Hg", "Hg"],
  "frac_coords": [[0.198, 0.613, 0.215], [0.802, 0.398, 0.785], [0.517, 0.113, 0.215], [0.483, 0.898, 0.785], [0.000, 0.873, 0.000], [0.500, 0.373, 0.000], [0.477, 0.489, 0.500], [0.523, 0.989, 0.500], [0.264, 0.657, 0.900], [0.736, 0.757, 0.100], [0.136, 0.157, 0.900], [0.864, 0.257, 0.100], [0.164, 0.117, 0.321], [0.836, 0.796, 0.679], [0.657, 0.617, 0.321], [0.343, 0.296, 0.679], [0.089, 0.636, 0.500], [0.911, 0.136, 0.500]],
  "vol_a3_per_atom": 26.5,
  "sg": "Ima2, No. 46",
  "formation_energy_ev_per_atom": -0.1866
}

=====

{
  "formula": "NiTe2Pb2",
  "functional": "GGA-PBE",
  "state": "optimized geometry",
  "lattice": [[6.703, 0.000, 0.000], [0.000, 6.703, 0.000], [0.000, 0.000, 6.553]],
  "species": ["Pb", "Pb", "Pb", "Pb", "Ni", "Ni", "Te", "Te", "Te", "Te"],
  "frac_coords": [[0.312, 0.812, 0.500], [0.812, 0.688, 0.500], [0.688, 0.188, 0.500], [0.188, 0.312, 0.500], [0.000, 0.000, 0.000], [0.500, 0.500, 0.000], [0.341, 0.841, 0.000], [0.841, 0.659, 0.000], [0.659, 0.159, 0.000], [0.159, 0.341, 0.000]],
  "vol_a3_per_atom": 29.4,
  "raw_formation_energy_ev_per_atom": 0.013,
  "sg": "P4/mbm, No. 127"
}

=====

{
  "formula": "Dy4SeS2",
  "functional": "GGA-PBE",
  "state": "optimized geometry",
  "lattice": [[-3.173, 1.023, -2.006], [-1.369, -2.333, -2.797], [-8.910, -6.448, 7.033]],
  "species": ["Dy", "Dy", "Dy", "Dy", "Se", "S", "S"],
  "frac_coords": [[0.129, 0.129, 0.614], [0.285, 0.285, 0.144], [0.715, 0.715, 0.856], [0.871, 0.871, 0.386], [0.000, 0.000, 0.000], [0.421, 0.421, 0.737], [0.579, 0.579, 0.263]],
  "vol_a3_per_atom": 24.1,
  "raw_formation_energy_ev_per_atom": -1.636,
  "sg": "R-3m, No. 166"
}